Ba4Sn6F19: relaxed, PBE-GGA.

Cell lengths 9.2714, 9.2714, 9.2714 Å; angles 109.47, 109.47, 109.47 degrees
Sites, in units of the cell vectors:
Ba  0.0000  0.0000  0.2856
Ba  0.0000  0.2856  0.0000
Ba  0.2856  0.0000  0.0000
Ba  0.7144  0.7144  0.7144
Sn  0.1494  0.5000  0.6494
Sn  0.3506  0.8506  0.5000
Sn  0.5000  0.3506  0.8506
Sn  0.5000  0.6494  0.1494
Sn  0.6494  0.1494  0.5000
Sn  0.8506  0.5000  0.3506
F  0.0000  0.0000  0.0000
F  0.0000  0.2856  0.2856
F  0.0000  0.7144  0.7144
F  0.0554  0.7641  0.3815
F  0.2359  0.2913  0.6174
F  0.2856  0.0000  0.2856
F  0.2856  0.2856  0.0000
F  0.2913  0.6174  0.2359
F  0.3261  0.7087  0.9446
F  0.3815  0.0554  0.7641
F  0.3826  0.6739  0.6185
F  0.6174  0.2359  0.2913
F  0.6185  0.3826  0.6739
F  0.6739  0.6185  0.3826
F  0.7087  0.9446  0.3261
F  0.7144  0.0000  0.7144
F  0.7144  0.7144  0.0000
F  0.7641  0.3815  0.0554
F  0.9446  0.3261  0.7087

**Raw formation energy**: -7770 kJ/mol of formula units
**E_tot**: -0.1873 Ha/atom
**Symmetry**: I23 (197)
**DOS(E_F)**: 6.9 states/eV/cell